{
  "formula": "ScAu2Se",
  "functional": "PBE",
  "state": "optimized geometry",
  "cell": [[-3.9517, 3.9517, 2.6819], [3.9517, -3.9517, 2.6819], [3.9517, 3.9517, -2.6819]],
  "species": ["Sc", "Sc", "Au", "Au", "Au", "Au", "Se", "Se"],
  "frac_coords": [[0.0000, 0.0000, 0.0000], [0.7500, 0.2500, 0.5000], [0.1355, 0.6250, 0.0105], [0.3750, 0.3855, 0.5105], [0.6145, 0.1250, 0.9895], [0.8750, 0.8645, 0.4895], [0.2500, 0.7500, 0.5000], [0.5000, 0.5000, 0.0000]],
  "raw_formation_energy_ev_per_atom": -0.5180,
  "vol_a3_per_cell": 167.5,
  "n_ef_per_ev_fu": 3.314
}